{
  "formula": "Li3Zn2Ga4Au2",
  "functional": "PBE",
  "state": "relaxed",
  "rho_kg_m3": 7030,
  "e_tot_ev_per_atom": -2.73,
  "space_group": "P-3m1",
  "e_form_mev_per_atom": -279.4,
  "cell": [[4.4693, 0.0000, 0.0000], [-2.2347, 3.8706, 0.0000], [0.0000, 0.0000, 11.2579]],
  "species": ["Li", "Li", "Li", "Zn", "Zn", "Ga", "Ga", "Ga", "Ga", "Au", "Au"],
  "frac_coords": [[0.0000, 0.0000, 0.0000], [0.0000, 0.0000, 0.2552], [0.0000, 0.0000, 0.7448], [0.3333, 0.6667, 0.6066], [0.6667, 0.3333, 0.3934], [0.3333, 0.6667, 0.3699], [0.3333, 0.6667, 0.8784], [0.6667, 0.3333, 0.1216], [0.6667, 0.3333, 0.6301], [0.3333, 0.6667, 0.1317], [0.6667, 0.3333, 0.8683]]
}